No. 1
{"formula": "TlBr", "functional": "PBE", "state": "optimized geometry", "lattice_angstrom": [[5.616, 0.000, 0.000], [-2.808, 4.864, 0.000], [0.000, 0.000, 21.377]], "species": ["Tl", "Tl", "Tl", "Tl", "Tl", "Tl", "Br", "Br", "Br", "Br", "Br", "Br"], "fractional_positions": [[0.000, 0.000, 0.090], [0.000, 0.000, 0.910], [0.333, 0.667, 0.577], [0.333, 0.667, 0.756], [0.667, 0.333, 0.244], [0.667, 0.333, 0.423], [0.000, 0.000, 0.235], [0.000, 0.000, 0.765], [0.333, 0.667, 0.432], [0.333, 0.667, 0.902], [0.667, 0.333, 0.098], [0.667, 0.333, 0.568]], "spacegroup": "R-3m (166)", "relative_energy_mev_per_atom": 67}

No. 2
{"formula": "TlBr3", "functional": "PBE", "state": "optimized geometry", "lattice_angstrom": [[11.494, 0.000, 0.000], [0.000, 13.940, 0.000], [0.000, 0.000, 3.753]], "species": ["Tl", "Tl", "Tl", "Tl", "Br", "Br", "Br", "Br", "Br", "Br", "Br", "Br", "Br", "Br", "Br", "Br"], "fractional_positions": [[0.000, 0.212, 0.250], [0.000, 0.788, 0.750], [0.500, 0.288, 0.750], [0.500, 0.712, 0.250], [0.000, 0.365, 0.750], [0.000, 0.635, 0.250], [0.160, 0.134, 0.750], [0.160, 0.866, 0.250], [0.340, 0.366, 0.250], [0.340, 0.634, 0.750], [0.500, 0.135, 0.250], [0.500, 0.865, 0.750], [0.660, 0.366, 0.250], [0.660, 0.634, 0.750], [0.840, 0.134, 0.750], [0.840, 0.866, 0.250]], "spacegroup": "Cmcm (63)"}

No. 3
{"formula": "TlBr4", "functional": "PBE", "state": "optimized geometry", "lattice_angstrom": [[3.561, -6.211, 0.000], [3.561, 6.211, 0.000], [-0.379, 0.000, 10.419]], "species": ["Tl", "Tl", "Br", "Br", "Br", "Br", "Br", "Br", "Br", "Br"], "fractional_positions": [[0.170, 0.830, 0.000], [0.830, 0.170, 0.000], [0.132, 0.487, 0.844], [0.150, 0.150, 0.154], [0.402, 0.402, 0.407], [0.487, 0.132, 0.844], [0.513, 0.868, 0.156], [0.598, 0.598, 0.593], [0.850, 0.850, 0.846], [0.868, 0.513, 0.156]], "spacegroup": "C2/m (12)", "relative_energy_mev_per_atom": 0}

No. 4
{"formula": "Tl2Br", "functional": "PBE", "state": "optimized geometry", "lattice_angstrom": [[6.523, 0.000, 0.000], [-3.261, 5.649, 0.000], [0.000, 0.000, 11.088]], "species": ["Tl", "Tl", "Tl", "Tl", "Tl", "Tl", "Tl", "Tl", "Br", "Br", "Br", "Br"], "fractional_positions": [[0.000, 0.000, 0.000], [0.000, 0.000, 0.500], [0.170, 0.340, 0.250], [0.170, 0.830, 0.250], [0.340, 0.170, 0.750], [0.660, 0.830, 0.250], [0.830, 0.170, 0.750], [0.830, 0.660, 0.750], [0.333, 0.667, 0.568], [0.333, 0.667, 0.932], [0.667, 0.333, 0.068], [0.667, 0.333, 0.432]], "spacegroup": "P6_3/mmc (194)", "relative_energy_mev_per_atom": 148}

No. 5
{"formula": "Tl2Br", "functional": "PBE", "state": "optimized geometry", "lattice_angstrom": [[0.000, 4.677, 4.677], [4.677, 0.000, 4.677], [4.677, 4.677, 0.000]], "species": ["Tl", "Tl", "Tl", "Tl", "Br", "Br"], "fractional_positions": [[0.000, 0.000, 0.000], [0.000, 0.000, 0.500], [0.000, 0.500, 0.000], [0.500, 0.000, 0.000], [0.375, 0.375, 0.375], [0.625, 0.625, 0.625]], "spacegroup": "Fd-3m (227)", "relative_energy_mev_per_atom": 156}

No. 6
{"formula": "Tl2Br", "functional": "PBE", "state": "optimized geometry", "lattice_angstrom": [[4.122, 0.000, 0.000], [0.000, 4.122, 0.000], [0.000, 0.000, 11.295]], "species": ["Tl", "Tl", "Tl", "Tl", "Br", "Br"], "fractional_positions": [[0.000, 0.000, 0.164], [0.000, 0.000, 0.836], [0.500, 0.500, 0.336], [0.500, 0.500, 0.664], [0.000, 0.000, 0.500], [0.500, 0.500, 0.000]], "spacegroup": "I4/mmm (139)", "relative_energy_mev_per_atom": 79}

No. 7
{"formula": "TlBr", "functional": "PBE", "state": "optimized geometry", "lattice_angstrom": [[4.747, 0.000, 0.000], [-2.373, 4.111, 0.000], [0.000, 0.000, 26.157]], "species": ["Tl", "Tl", "Tl", "Tl", "Tl", "Tl", "Br", "Br", "Br", "Br", "Br", "Br"], "fractional_positions": [[0.000, 0.000, 0.117], [0.000, 0.000, 0.883], [0.333, 0.667, 0.550], [0.333, 0.667, 0.784], [0.667, 0.333, 0.216], [0.667, 0.333, 0.450], [0.000, 0.000, 0.398], [0.000, 0.000, 0.602], [0.333, 0.667, 0.065], [0.333, 0.667, 0.269], [0.667, 0.333, 0.731], [0.667, 0.333, 0.935]], "spacegroup": "R-3m (166)", "relative_energy_mev_per_atom": 160}

No. 8
{"formula": "TlBr", "functional": "PBE", "state": "optimized geometry", "lattice_angstrom": [[5.557, 0.000, 0.000], [-2.778, 4.812, 0.000], [0.000, 0.000, 10.220]], "species": ["Tl", "Tl", "Tl", "Tl", "Br", "Br", "Br", "Br"], "fractional_positions": [[0.000, 0.000, 0.250], [0.000, 0.000, 0.750], [0.333, 0.667, 0.250], [0.667, 0.333, 0.750], [0.333, 0.667, 0.584], [0.333, 0.667, 0.916], [0.667, 0.333, 0.084], [0.667, 0.333, 0.416]], "spacegroup": "P6_3/mmc (194)", "relative_energy_mev_per_atom": 355}

No. 9
{"formula": "TlBr3", "functional": "PBE", "state": "optimized geometry", "lattice_angstrom": [[4.488, 0.000, 0.000], [-2.244, 3.887, 0.000], [0.000, 0.000, 22.082]], "species": ["Tl", "Tl", "Tl", "Br", "Br", "Br", "Br", "Br", "Br", "Br", "Br", "Br"], "fractional_positions": [[0.000, 0.000, 0.000], [0.333, 0.667, 0.667], [0.667, 0.333, 0.333], [0.000, 0.000, 0.262], [0.000, 0.000, 0.500], [0.000, 0.000, 0.738], [0.333, 0.667, 0.167], [0.333, 0.667, 0.405], [0.333, 0.667, 0.929], [0.667, 0.333, 0.071], [0.667, 0.333, 0.595], [0.667, 0.333, 0.833]], "spacegroup": "R-3m (166)"}

No. 10
{"formula": "Tl3Br4", "functional": "PBE", "state": "optimized geometry", "lattice_angstrom": [[0.000, 6.660, 6.660], [6.660, 0.000, 6.660], [6.660, 6.660, 0.000]], "species": ["Tl", "Tl", "Tl", "Tl", "Tl", "Tl", "Br", "Br", "Br", "Br", "Br", "Br", "Br", "Br"], "fractional_positions": [[0.000, 0.000, 0.000], [0.000, 0.000, 0.500], [0.000, 0.500, 0.000], [0.375, 0.375, 0.375], [0.500, 0.000, 0.000], [0.625, 0.625, 0.625], [0.248, 0.751, 0.751], [0.249, 0.249, 0.249], [0.249, 0.249, 0.752], [0.249, 0.752, 0.249], [0.751, 0.248, 0.751], [0.751, 0.751, 0.248], [0.751, 0.751, 0.751], [0.752, 0.249, 0.249]], "spacegroup": "Fd-3m (227)", "relative_energy_mev_per_atom": 0}

No. 11
{"formula": "TlBr", "functional": "PBE", "state": "optimized geometry", "lattice_angstrom": [[13.299, 0.000, 0.000], [-6.649, 11.517, 0.000], [0.000, 0.000, 4.358]], "species": ["Tl", "Tl", "Tl", "Tl", "Tl", "Tl", "Br", "Br", "Br", "Br", "Br", "Br"], "fractional_positions": [[0.140, 0.477, 0.250], [0.337, 0.860, 0.250], [0.477, 0.337, 0.750], [0.523, 0.663, 0.250], [0.663, 0.140, 0.750], [0.860, 0.523, 0.750], [0.145, 0.660, 0.750], [0.340, 0.485, 0.750], [0.485, 0.145, 0.250], [0.515, 0.855, 0.750], [0.660, 0.515, 0.250], [0.855, 0.340, 0.250]], "spacegroup": "P6_3/m (176)", "relative_energy_mev_per_atom": 64}

No. 12
{"formula": "TlBr3", "functional": "PBE", "state": "optimized geometry", "lattice_angstrom": [[5.046, 0.000, 0.000], [0.000, 5.046, 0.000], [0.000, 0.000, 5.046]], "species": ["Tl", "Br", "Br", "Br"], "fractional_positions": [[0.000, 0.000, 0.000], [0.000, 0.500, 0.500], [0.500, 0.000, 0.500], [0.500, 0.500, 0.000]], "spacegroup": "Pm-3m (221)"}

No. 13
{"formula": "TlBr", "functional": "PBE", "state": "optimized geometry", "lattice_angstrom": [[10.284, 0.000, 0.000], [0.000, 10.284, 0.000], [0.000, 0.000, 10.284]], "species": ["Tl", "Tl", "Tl", "Tl", "Tl", "Tl", "Tl", "Tl", "Br", "Br", "Br", "Br", "Br", "Br", "Br", "Br"], "fractional_positions": [[0.154, 0.154, 0.846], [0.154, 0.846, 0.154], [0.346, 0.346, 0.346], [0.346, 0.654, 0.654], [0.654, 0.346, 0.654], [0.654, 0.654, 0.346], [0.846, 0.154, 0.154], [0.846, 0.846, 0.846], [0.156, 0.156, 0.156], [0.156, 0.844, 0.844], [0.344, 0.344, 0.656], [0.344, 0.656, 0.344], [0.656, 0.344, 0.344], [0.656, 0.656, 0.656], [0.844, 0.156, 0.844], [0.844, 0.844, 0.156]], "spacegroup": "I-43m (217)", "relative_energy_mev_per_atom": 83}

Number 1: ρ 4.85 g/cm³, formation energy from raw total energies -796 meV per atom. Number 2: ρ 4.91 g/cm³, formation energy from raw total energies -362 meV per atom. Number 3: ρ 3.78 g/cm³, formation energy from raw total energies -344 meV per atom. Number 4: ρ 7.94 g/cm³, formation energy from raw total energies -298 meV per atom. Number 5: ρ 7.93 g/cm³, formation energy from raw total energies -290 meV per atom. Number 6: ρ 8.46 g/cm³, formation energy from raw total energies -367 meV per atom. Number 7: ρ 5.55 g/cm³, formation energy from raw total energies -704 meV per atom. Number 8: ρ 6.91 g/cm³, formation energy from raw total energies -508 meV per atom. Number 9: ρ 5.74 g/cm³, formation energy from raw total energies -173 meV per atom. Number 10: ρ 5.24 g/cm³, formation energy from raw total energies -708 meV per atom. Number 11: ρ 4.24 g/cm³, formation energy from raw total energies -799 meV per atom. Number 12: ρ 5.74 g/cm³, formation energy from raw total energies -58 meV per atom. Number 13: ρ 3.47 g/cm³, formation energy from raw total energies -780 meV per atom.